A plane-wave DFT calculation with PBE-GGA was carried out for PmGaCu2Pd after structural relaxation.

CIF file:
```
data_PmGaCu2Pd
_symmetry_space_group_name_H-M 'P 1'
_symmetry_Int_Tables_number 1
_symmetry_space_group_name_Hall 'P 1'
_cell_length_a 6.220
_cell_length_b 6.220
_cell_length_c 6.220
_cell_angle_alpha 143.40
_cell_angle_beta 141.28
_cell_angle_gamma 54.34
loop_
_atom_site_label
_atom_site_fract_x
_atom_site_fract_y
_atom_site_fract_z
Pm1 0.000 0.000 0.000
Ga1 0.378 0.378 0.000
Cu1 0.600 0.600 0.000
Cu2 0.747 0.247 0.500
Pd1 0.236 0.736 0.500
```

Computed properties:
Crystal system: orthorhombic
Raw total energy: -4.6545 eV/atom
Fermi-level density of states: 2.6 states/eV/cell
DFT formation energy: -422 meV/atom
Volume: 17.83 A^3/atom